# 1
## Na3CdCl (PBE)

Data for a geometry-optimized Na3CdCl structure.

Cell and atoms, written as CIF:
```
data_Na3CdCl
_chemical_formula_sum 'Na3 Cd1 Cl1'
_cell_length_a 5.384
_cell_length_b 5.384
_cell_length_c 5.384
_cell_angle_alpha 90.00
_cell_angle_beta 90.00
_cell_angle_gamma 90.00
_symmetry_space_group_name_H-M 'P m -3 m'
_symmetry_Int_Tables_number 221
_symmetry_space_group_name_Hall '-P 4 2 3'
loop_
_atom_site_label
_atom_site_fract_x
_atom_site_fract_y
_atom_site_fract_z
Na1 0.000 0.000 0.500
Cd1 0.500 0.500 0.500
Cl1 0.000 0.000 0.000
```

Properties
Polymorph energy (0 for the lowest one)   0 meV per atom
D(E_F)   3.5 states/eV per cell



# 2
## Pm2MnZn3Pt4 (PBE)

Data for a geometry-optimized Pm2MnZn3Pt4 structure.

Cell and atoms, written as CIF:
```
data_Pm2MnZn3Pt4
_chemical_formula_sum 'Pm2 Mn1 Zn3 Pt4'
_cell_length_a 4.094
_cell_length_b 4.094
_cell_length_c 11.307
_cell_angle_alpha 90.00
_cell_angle_beta 90.00
_cell_angle_gamma 90.00
_symmetry_space_group_name_H-M 'P -4 m 2'
_symmetry_Int_Tables_number 115
loop_
_symmetry_equiv_pos_as_xyz
'x,y,z'
'y,-x,-z'
'-x,-y,z'
'-y,x,-z'
'-x,y,z'
'-y,-x,-z'
'x,-y,z'
'y,x,-z'
loop_
_atom_site_label
_atom_site_fract_x
_atom_site_fract_y
_atom_site_fract_z
Pm1 0.000 0.500 0.244
Mn1 0.000 0.000 0.500
Zn1 0.000 0.500 0.866
Zn2 0.500 0.500 0.500
Pt1 0.000 0.000 0.000
Pt2 0.000 0.500 0.644
Pt3 0.500 0.500 0.000
```

Properties
Total DFT energy (no corrections)   -5.381 eV per atom
D(E_F)   3.7 states/eV per cell



# 3
## LiNpHgPb (PBE)

Data for a geometry-optimized LiNpHgPb structure.

Cell and atoms, written as CIF:
```
data_LiNpHgPb
_chemical_formula_sum 'Li4 Np4 Hg4 Pb4'
_cell_length_a 7.352
_cell_length_b 7.352
_cell_length_c 7.352
_cell_angle_alpha 90.00
_cell_angle_beta 90.00
_cell_angle_gamma 90.00
_symmetry_space_group_name_H-M 'F -4 3 m'
_symmetry_Int_Tables_number 216
_symmetry_space_group_name_Hall 'F -4 2 3'
loop_
_atom_site_label
_atom_site_fract_x
_atom_site_fract_y
_atom_site_fract_z
Li1 0.000 0.000 0.000
Np1 0.000 0.000 0.500
Hg1 0.250 0.250 0.250
Pb1 0.250 0.250 0.750
```

Properties
Total DFT energy (no corrections)   -4.685 eV per atom
D(E_F)   34.8 states/eV per cell



- Which value of D(E_F) does entry 3 give?
  34.8 states/eV per cell